The following is a DFT calculation (PBE with a Hubbard U) of an optimized crystal structure of TlCoF2.

abc: 8.0942 8.0942 8.0942
angles: 23.40 23.40 23.40
Atoms (fractional coordinates):
1 Tl 0.0000 0.0000 0.0000
2 Co 0.5000 0.5000 0.5000
3 F 0.1264 0.1264 0.1264
4 F 0.8736 0.8736 0.8736

Calculated values
**Space group**: R-3m (166)
**Total DFT energy (no corrections)**: -0.3143 Ry/atom
**Spin magnetization**: 0.71 μB per atom
**Relative energy among the computed polymorphs**: 0.000 eV per atom